Crystalline BeIn at its relaxed geometry. Source: the Alexandria database, functional GGA-PBEsol.

Lattice parameters (Å, degrees): 2.9304 2.9304 3.8423 90.00 90.00 90.00
Space group P4/mmm (No. 123)
Symmetry-distinct sites (fractional):
1 Be 0.0000 0.0000 0.0000
2 In 0.5000 0.5000 0.5000

* DFT formation energy: 0.579 eV per atom

***

Crystalline LaSc2Te at its relaxed geometry. Source: the Alexandria database, functional GGA-PBEsol.

Lattice parameters (Å, degrees): 3.6653 3.6653 28.0215 90.00 90.00 120.00
Space group R-3m (No. 166, hexagonal axes)
Symmetry-distinct sites (fractional):
1 La 0.0000 0.0000 0.0000
2 Sc 0.0000 0.0000 0.2364
3 Te 0.0000 0.0000 0.5000

* energy relative to the elements, uncorrected: -438 meV per atom

***

DOS at the Fermi energy: 0.81; 14.47 (states/eV per cell)
E_tot: -2.9121; -5.9584 (eV per atom)